[1]
First-principles (PBE-GGA) data for a geometry-optimized SiW structure, as listed in the Alexandria database.

a = 4.427 Å, b = 4.427 Å, c = 7.741 Å
α = 90.00°, β = 90.00°, γ = 120.00°
Positions (direct):
Si 0.333 0.667 0.085
Si 0.667 0.333 0.585
Si 0.333 0.667 0.415
Si 0.667 0.333 0.915
W 0.333 0.667 0.750
W 0.000 0.000 0.250
W 0.000 0.000 0.750
W 0.667 0.333 0.250

Results
- Symmetry: No. 194
- ρ: 10.72 g/cm3
- Formation energy (no corrections): 0.58 eV per atom
- Calculated volume: 16.42 A^3/atom

[2]
First-principles (PBE-GGA) data for a geometry-optimized Si4W5 structure, as listed in the Alexandria database.

a = 6.618 Å, b = 6.618 Å, c = 6.618 Å
α = 93.61°, β = 93.61°, γ = 150.95°
Positions (direct):
W 0.668 0.332 0.000
W 0.332 0.332 0.665
W 0.000 0.000 0.000
W 0.332 0.668 0.000
W 0.668 0.668 0.335
Si 0.323 0.000 0.323
Si 0.677 0.000 0.677
Si 0.000 0.323 0.323
Si 0.000 0.677 0.677

Results
- Symmetry: No. 139
- Distance to the lowest polymorph of the same formula: 157 meV/atom
- ρ: 12.57 g/cm3
- Formation energy (no corrections): 0.19 eV per atom
- Calculated volume: 15.14 A^3/atom

[3]
First-principles (PBE-GGA) data for a geometry-optimized SiW structure, as listed in the Alexandria database.

a = 4.923 Å, b = 4.923 Å, c = 4.923 Å
α = 140.58°, β = 129.40°, γ = 65.97°
Positions (direct):
W 0.132 0.382 0.250
W 0.868 0.618 0.750
Si 0.627 0.877 0.250
Si 0.373 0.123 0.750

Results
- Symmetry: No. 74
- ρ: 12.20 g/cm3
- Formation energy (no corrections): 0.08 eV per atom
- Calculated volume: 14.42 A^3/atom

[4]
First-principles (PBE-GGA) data for a geometry-optimized SiW structure, as listed in the Alexandria database.

a = 8.003 Å, b = 8.003 Å, c = 4.380 Å
α = 90.00°, β = 90.00°, γ = 120.00°
Positions (direct):
W 0.445 0.555 0.250
W 0.110 0.555 0.250
W 0.555 0.110 0.750
W 0.890 0.445 0.750
W 0.445 0.890 0.250
W 0.555 0.445 0.750
Si 0.780 0.220 0.250
Si 0.220 0.440 0.750
Si 0.780 0.560 0.250
Si 0.220 0.780 0.750
Si 0.440 0.220 0.250
Si 0.560 0.780 0.750

Results
- Symmetry: No. 194
- ρ: 8.69 g/cm3
- Formation energy (no corrections): 0.33 eV per atom
- Calculated volume: 20.25 A^3/atom

[5]
First-principles (PBE-GGA) data for a geometry-optimized Si2W structure, as listed in the Alexandria database.

a = 4.491 Å, b = 4.491 Å, c = 4.983 Å
α = 90.00°, β = 90.00°, γ = 120.00°
Positions (direct):
Si 0.333 0.667 0.250
Si 0.000 0.000 0.500
Si 0.000 0.000 0.000
Si 0.667 0.333 0.750
W 0.667 0.333 0.250
W 0.333 0.667 0.750

Results
- Symmetry: No. 194
- Distance to the lowest polymorph of the same formula: 822 meV/atom
- ρ: 9.16 g/cm3
- Formation energy (no corrections): 0.47 eV per atom
- Calculated volume: 14.51 A^3/atom

[6]
First-principles (PBE-GGA) data for a geometry-optimized SiW structure, as listed in the Alexandria database.

a = 3.143 Å, b = 3.143 Å, c = 7.022 Å
α = 90.00°, β = 90.00°, γ = 120.00°
Positions (direct):
W 0.000 0.000 0.000
W 0.000 0.000 0.500
Si 0.333 0.667 0.250
Si 0.667 0.333 0.750

Results
- Symmetry: No. 194
- ρ: 11.71 g/cm3
- Formation energy (no corrections): -0.10 eV per atom
- Calculated volume: 15.02 A^3/atom

Copy entry 2 word for word.
First-principles (PBE-GGA) data for a geometry-optimized Si4W5 structure, as listed in the Alexandria database.

a = 6.618 Å, b = 6.618 Å, c = 6.618 Å
α = 93.61°, β = 93.61°, γ = 150.95°
Positions (direct):
W 0.668 0.332 0.000
W 0.332 0.332 0.665
W 0.000 0.000 0.000
W 0.332 0.668 0.000
W 0.668 0.668 0.335
Si 0.323 0.000 0.323
Si 0.677 0.000 0.677
Si 0.000 0.323 0.323
Si 0.000 0.677 0.677

Results
- Symmetry: No. 139
- Distance to the lowest polymorph of the same formula: 157 meV/atom
- ρ: 12.57 g/cm3
- Formation energy (no corrections): 0.19 eV per atom
- Calculated volume: 15.14 A^3/atom